# 1
VASP calculation (PBE-GGA) on a relaxed structure of CoBr3Cl.

```
CoBr3Cl
1.0
3.551 2.050 8.380
-3.551 2.050 8.380
0.000 -4.101 8.380
Co Br Cl
2 6 2
Direct
0.250 0.250 0.250
0.750 0.750 0.750
0.063 0.750 0.437
0.250 0.563 0.937
0.437 0.063 0.750
0.563 0.937 0.250
0.750 0.437 0.063
0.937 0.250 0.563
0.000 0.000 0.000
0.500 0.500 0.500
```

Values from the calculation:
* uncorrected formation energy: 0.0618 eV/atom
* space group: R-3c
* VASP energy: -13.7 eV/f.u.


# 2
VASP calculation (PBE-GGA) on a relaxed structure of CoBr3Cl.

```
CoBr3Cl
1.0
4.570 0.000 0.000
0.000 4.570 0.000
0.000 0.000 7.278
Co Br Cl
1 3 1
Direct
0.000 0.000 0.000
0.000 0.000 0.690
0.000 0.500 0.121
0.500 0.000 0.121
0.500 0.500 0.649
```

Values from the calculation:
* uncorrected formation energy: 0.0786 eV/atom
* space group: P4mm
* VASP energy: -13.6 eV/f.u.


# 3
VASP calculation (PBE-GGA) on a relaxed structure of CoBr3Cl.

```
CoBr3Cl
1.0
7.199 0.000 0.000
0.000 6.626 0.000
-3.488 0.000 6.918
Co Br Cl
2 6 2
Direct
0.136 0.250 0.144
0.864 0.750 0.856
0.145 0.000 0.907
0.145 0.500 0.907
0.499 0.750 0.735
0.501 0.250 0.265
0.855 0.000 0.093
0.855 0.500 0.093
0.197 0.250 0.446
0.803 0.750 0.554
```

Values from the calculation:
* uncorrected formation energy: -0.0718 eV/atom
* space group: P2_1/m
* VASP energy: -14.3 eV/f.u.


# 4
VASP calculation (PBE-GGA) on a relaxed structure of CoBrCl2.

```
CoBrCl2
1.0
5.843 0.000 0.000
0.000 5.742 0.000
0.000 0.000 10.163
Co Br Cl
4 4 8
Direct
0.250 0.000 0.085
0.250 0.500 0.415
0.750 0.000 0.915
0.750 0.500 0.585
0.068 0.250 0.250
0.432 0.750 0.250
0.568 0.250 0.750
0.932 0.750 0.750
0.069 0.214 0.927
0.069 0.286 0.573
0.431 0.714 0.573
0.431 0.786 0.927
0.569 0.214 0.073
0.569 0.286 0.427
0.931 0.714 0.427
0.931 0.786 0.073
```

Values from the calculation:
* uncorrected formation energy: -0.4230 eV/atom
* space group: Pnna
* VASP energy: -14.2 eV/f.u.


Look up the VASP energy of the second one.
-13.6 eV/f.u.


Copy entry 2 word for word.
VASP calculation (PBE-GGA) on a relaxed structure of CoBr3Cl.

```
CoBr3Cl
1.0
4.570 0.000 0.000
0.000 4.570 0.000
0.000 0.000 7.278
Co Br Cl
1 3 1
Direct
0.000 0.000 0.000
0.000 0.000 0.690
0.000 0.500 0.121
0.500 0.000 0.121
0.500 0.500 0.649
```

Values from the calculation:
* uncorrected formation energy: 0.0786 eV/atom
* space group: P4mm
* VASP energy: -13.6 eV/f.u.